Entry 1:
Below is TlTe3Rh after structural relaxation, with properties calculated at the PBE-GGA level.

Magnetization in μB/f.u.: 2.352
Raw formation energy in eV/atom: 1.28

The structure in POSCAR format:
```
TlTe3Rh
1.0
5.704 0.000 0.000
0.000 5.704 0.000
0.000 0.000 5.704
Te Tl Rh
3 1 1
direct
0.000 0.500 0.000
0.000 0.000 0.500
0.500 0.000 0.000
0.000 0.000 0.000
0.500 0.500 0.500
```

***

Entry 2:
Below is TlTe2Rh after structural relaxation, with properties calculated at the PBE-GGA level.

Magnetization in μB/f.u.: 0.000
Raw formation energy in eV/atom: 0.32

The structure in POSCAR format:
```
TlTe2Rh
1.0
3.181 -3.990 0.000
3.181 3.990 0.000
0.000 0.000 3.833
Rh Te Tl
1 2 1
direct
0.500 0.500 0.500
0.000 0.500 0.000
0.500 0.000 0.000
0.000 0.000 0.500
```

***

- Number 1 is which compound?
  TlTe3Rh